RbTlBr2F8 PBE relaxed; total magnetization = 2.05 Bohr magnetons per cell; E_form (uncorrected) = -16.19 eV per formula unit; symmetry = C2/m, No. 12
1.0
6.456 0.000 0.000
3.228 5.210 0.248
3.228 2.138 7.086
Rb F Br Tl
1 8 2 1
Direct
0.500 0.500 0.500
0.756 0.814 0.206
0.237 0.075 0.451
0.776 0.186 0.794
0.247 0.570 0.935
0.753 0.430 0.065
0.244 0.186 0.794
0.763 0.925 0.549
0.224 0.814 0.206
0.254 0.296 0.195
0.746 0.704 0.805
0.000 0.000 0.000